No. 1
Li2Cd: relaxed, PBE-GGA. Values from VASP.

Cell and atoms, written as Quantum ESPRESSO input:
```
&SYSTEM
  ibrav = 0, nat = 12, ntyp = 2
/
ATOMIC_SPECIES
Li 6.94 Li.upf
Cd 112.41 Cd.upf
ATOMIC_POSITIONS crystal
Li 0.135 0.135 0.135
Li 0.135 0.365 0.635
Li 0.365 0.635 0.135
Li 0.365 0.865 0.635
Li 0.635 0.135 0.365
Li 0.635 0.365 0.865
Li 0.865 0.635 0.365
Li 0.865 0.865 0.865
Cd 0.000 0.000 0.500
Cd 0.000 0.500 0.000
Cd 0.500 0.000 0.000
Cd 0.500 0.500 0.500
CELL_PARAMETERS angstrom
6.535 0.000 0.000
0.000 6.535 0.000
0.000 0.000 6.535
```

Output
Total magnetic moment in μB/cell: 0.0
Energy of formation from the pure elements in eV/atom: 0.045
SG: No. 205
Crystal system: cubic

=====

No. 2
Li2Cd5: relaxed, PBE-GGA. Values from VASP.

Cell and atoms, written as Quantum ESPRESSO input:
```
&SYSTEM
  ibrav = 0, nat = 14, ntyp = 2
/
ATOMIC_SPECIES
Li 6.94 Li.upf
Cd 112.41 Cd.upf
ATOMIC_POSITIONS crystal
Li 0.102 0.751 0.894
Li 0.249 0.898 0.606
Li 0.751 0.102 0.394
Li 0.898 0.249 0.106
Cd 0.045 0.379 0.823
Cd 0.187 0.543 0.541
Cd 0.314 0.686 0.250
Cd 0.379 0.045 0.323
Cd 0.457 0.813 0.959
Cd 0.543 0.187 0.041
Cd 0.621 0.955 0.677
Cd 0.686 0.314 0.750
Cd 0.813 0.457 0.459
Cd 0.955 0.621 0.177
CELL_PARAMETERS angstrom
6.810 -2.629 0.000
6.810 2.629 0.000
-0.744 0.000 7.900
```

Output
Total magnetic moment in μB/cell: 0.0
Energy of formation from the pure elements in eV/atom: -0.179
SG: No. 15
Relative energy among the computed polymorphs in meV/atom: 0.0
Crystal system: monoclinic

=====

No. 3
Li5Cd6: relaxed, PBE-GGA. Values from VASP.

Cell and atoms, written as Quantum ESPRESSO input:
```
&SYSTEM
  ibrav = 0, nat = 11, ntyp = 2
/
ATOMIC_SPECIES
Li 6.94 Li.upf
Cd 112.41 Cd.upf
ATOMIC_POSITIONS crystal
Li 0.000 0.000 0.000
Li 0.168 0.832 0.500
Li 0.314 0.686 0.000
Li 0.686 0.314 0.000
Li 0.832 0.168 0.500
Cd 0.118 0.419 0.269
Cd 0.269 0.269 0.767
Cd 0.419 0.118 0.269
Cd 0.581 0.882 0.731
Cd 0.731 0.731 0.233
Cd 0.882 0.581 0.731
CELL_PARAMETERS angstrom
4.003 -6.983 0.000
4.003 6.983 0.000
-2.679 0.000 3.805
```

Output
Total magnetic moment in μB/cell: 0.0
Energy of formation from the pure elements in eV/atom: -0.200
SG: No. 12
Crystal system: monoclinic

=====

No. 4
Li11Cd3: relaxed, PBE-GGA. Values from VASP.

Cell and atoms, written as Quantum ESPRESSO input:
```
&SYSTEM
  ibrav = 0, nat = 14, ntyp = 2
/
ATOMIC_SPECIES
Li 6.94 Li.upf
Cd 112.41 Cd.upf
ATOMIC_POSITIONS crystal
Li 0.000 0.000 0.000
Li 0.089 0.853 0.236
Li 0.146 0.500 0.646
Li 0.244 0.368 0.877
Li 0.382 0.147 0.236
Li 0.491 0.368 0.123
Li 0.509 0.632 0.877
Li 0.618 0.853 0.764
Li 0.756 0.632 0.123
Li 0.854 0.500 0.354
Li 0.911 0.147 0.764
Cd 0.219 0.719 0.500
Cd 0.500 0.000 0.500
Cd 0.781 0.281 0.500
CELL_PARAMETERS angstrom
-2.320 4.972 5.503
2.320 -4.972 5.503
2.320 4.972 -5.503
```

Output
Total magnetic moment in μB/cell: 0.0
Energy of formation from the pure elements in eV/atom: -0.074
SG: No. 71
Crystal system: orthorhombic

=====

No. 5
Li3Cd: relaxed, PBE-GGA. Values from VASP.

Cell and atoms, written as Quantum ESPRESSO input:
```
&SYSTEM
  ibrav = 0, nat = 8, ntyp = 2
/
ATOMIC_SPECIES
Li 6.94 Li.upf
Cd 112.41 Cd.upf
ATOMIC_POSITIONS crystal
Li 0.000 0.250 0.500
Li 0.000 0.750 0.500
Li 0.250 0.500 0.000
Li 0.500 0.000 0.250
Li 0.500 0.000 0.750
Li 0.750 0.500 0.000
Cd 0.000 0.000 0.000
Cd 0.500 0.500 0.500
CELL_PARAMETERS angstrom
5.304 0.000 0.000
0.000 5.304 0.000
0.000 0.000 5.304
```

Output
Total magnetic moment in μB/cell: 0.0
Energy of formation from the pure elements in eV/atom: -0.146
SG: No. 223
Crystal system: cubic

=====

No. 6
Li3Cd: relaxed, PBE-GGA. Values from VASP.

Cell and atoms, written as Quantum ESPRESSO input:
```
&SYSTEM
  ibrav = 0, nat = 16, ntyp = 2
/
ATOMIC_SPECIES
Li 6.94 Li.upf
Cd 112.41 Cd.upf
ATOMIC_POSITIONS crystal
Li 0.107 0.250 0.124
Li 0.242 0.508 0.372
Li 0.242 0.992 0.372
Li 0.258 0.008 0.872
Li 0.258 0.492 0.872
Li 0.393 0.750 0.624
Li 0.607 0.250 0.376
Li 0.742 0.508 0.128
Li 0.742 0.992 0.128
Li 0.758 0.008 0.628
Li 0.758 0.492 0.628
Li 0.893 0.750 0.876
Cd 0.113 0.250 0.608
Cd 0.387 0.750 0.108
Cd 0.613 0.250 0.892
Cd 0.887 0.750 0.392
CELL_PARAMETERS angstrom
5.031 0.000 0.000
0.000 9.833 0.000
0.000 0.000 6.007
```

Output
Total magnetic moment in μB/cell: 0.0
Energy of formation from the pure elements in eV/atom: -0.160
SG: No. 62
Crystal system: orthorhombic